No. 1
{
  "formula": "RbSb2Br2",
  "functional": "GGA-PBE",
  "state": "relaxed",
  "cell": [[-5.6641, 1.5925, 2.0398], [-1.9075, -5.8863, -0.7011], [-2.3665, -3.1716, 5.4107]],
  "species": ["Sb", "Sb", "Br", "Br", "Rb"],
  "fractional_positions": [[0.3700, 0.3700, 0.2600], [0.6300, 0.6300, 0.7400], [0.7500, 0.2500, 0.5000], [0.2500, 0.7500, 0.5000], [0.0000, 0.0000, 0.0000]],
  "rho_g_cm3": 4.141,
  "m_tot_mub_per_cell": 0.00,
  "e_form_raw_kcal_per_mol_atoms": -8.52
}

***

No. 2
{
  "formula": "CuNiBi",
  "functional": "GGA-PBE",
  "state": "relaxed",
  "cell": [[4.5514, 0.0000, 0.0000], [-2.2757, 2.2863, 0.1832], [0.0000, -0.8553, 10.3650]],
  "species": ["Ni", "Ni", "Bi", "Bi", "Cu", "Cu"],
  "fractional_positions": [[0.2505, 0.5011, 0.0641], [0.7495, 0.4989, 0.9359], [0.2523, 0.5045, 0.3391], [0.7477, 0.4955, 0.6609], [0.2489, 0.4978, 0.8316], [0.7511, 0.5022, 0.1684]],
  "rho_g_cm3": 10.132,
  "m_tot_mub_per_cell": 0.14,
  "e_form_ev_per_atom": 0.1883
}

***

No. 3
{
  "formula": "CsI2",
  "functional": "GGA-PBE",
  "state": "relaxed",
  "cell": [[5.3385, 0.0001, -0.0006], [-1.5522, 6.6999, 0.0009], [-2.3730, -1.1853, 9.5845]],
  "species": ["Cs", "Cs", "I", "I", "I", "I"],
  "fractional_positions": [[0.3281, 0.2509, 0.8083], [0.6719, 0.7491, 0.1917], [0.3590, 0.1040, 0.3945], [0.6410, 0.8960, 0.6055], [0.9695, 0.6920, 0.8580], [0.0305, 0.3080, 0.1420]],
  "rho_g_cm3": 3.746,
  "m_tot_mub_per_cell": 0.00,
  "e_above_lowest_polymorph_kj_per_mol_atoms": 2.0,
  "e_form_raw_kcal_per_mol_atoms": -24.05
}